The following is a DFT calculation (PBE) of a relaxed structure of YV2Cl.

abc: 4.6165 4.6165 4.6165
angles: 60.00 60.00 60.00
Sites, in units of the cell vectors:
Y (0.5000, 0.5000, 0.5000)
Cl (0.0000, 0.0000, 0.0000)
V (0.7500, 0.7500, 0.7500)
V (0.2500, 0.2500, 0.2500)

Results
**DOS(E_F)**: 3.1 states/eV per cell
**Magnetic moment**: 0.0 μB/f.u.
**Formation energy without anion corrections**: 1.003 eV per atom
**ΔE to the lowest computed polymorph**: 0.763 eV per atom